Computed, not measured: a relaxed Ta2Te crystal at the PBE-GGA level of DFT.

* E: -54.39 eV/cell
* theoretical density: 10.7 g/cm3
* total magnetic moment: 0.00 μB/cell
* ΔE_f (raw): -116 meV per atom

Structure (POSCAR):
```
Ta2Te
1.0
1.810 -9.662 0.000
1.810 9.662 0.000
0.000 0.000 4.346
Ta Te
4 2
Direct
0.058 0.942 0.750 Ta
0.441 0.559 0.750 Ta
0.559 0.441 0.250 Ta
0.942 0.058 0.250 Ta
0.331 0.669 0.250 Te
0.669 0.331 0.750 Te
```


Computed, not measured: a relaxed MgCo2Au crystal at the PBE-GGA level of DFT.

* E: -18.44 eV/cell
* theoretical density: 9.8 g/cm3
* total magnetic moment: 2.83 μB/cell

Structure (POSCAR):
```
MgCo2Au
1.0
2.630 -3.880 0.000
2.630 3.880 0.000
0.000 0.000 2.808
Mg Co Au
1 2 1
Direct
0.000 0.000 0.000 Mg
0.000 0.500 0.500 Co
0.500 0.000 0.500 Co
0.500 0.500 0.000 Au
```


Computed, not measured: a relaxed NaSn crystal at the PBE-GGA level of DFT.

* E: -8.89 eV/cell
* theoretical density: 3.1 g/cm3
* total magnetic moment: 0.00 μB/cell

Structure (POSCAR):
```
NaSn
1.0
5.423 0.000 0.000
-2.712 4.697 0.000
0.000 0.000 6.007
Na Sn
2 2
Direct
0.333 0.667 0.250 Na
0.667 0.333 0.750 Na
0.333 0.667 0.750 Sn
0.667 0.333 0.250 Sn
```


Question: Look up the total magnetic moment of the first one.
Answer: 0.00 μB/cell